NiPO5: relaxed, GGA+U.

```
14
Lattice="-0.866 3.853 2.886 2.217 -2.742 4.325 7.024 1.878 -0.399" Properties=species:S:1:pos:R:3 pbc="T T T"
Ni 7.896 2.536 5.000
O 4.390 -0.411 2.790
O 5.749 3.331 1.382
O 2.539 0.151 4.362
Ni 0.520 0.265 1.673
O 6.444 2.845 6.191
O 2.201 1.546 6.845
P 5.530 3.100 2.915
P 3.017 -0.876 3.324
O 5.474 4.445 3.655
O 6.792 2.259 3.306
O 4.224 2.332 3.223
O 1.547 1.852 1.902
O 1.987 -1.068 2.160
```

## Properties
For the uncorrected energy, the calculation gives -78.4 eV/cell. Its space group is P2_1. Its spin magnetization is 5.02 μB per formula unit.